# 1
A plane-wave DFT calculation with PBE-GGA was carried out for crystalline KBi2F2 at its relaxed geometry.

a = 5.142 Å, b = 5.142 Å, c = 6.152 Å
α = 65.30°, β = 65.30°, γ = 90.00°
Atoms (fractional coordinates):
Bi: 0.645 0.645 0.710
F: 0.750 0.250 0.500
K: 0.000 0.000 0.000
Bi: 0.355 0.355 0.290
F: 0.250 0.750 0.500

Output
E above lowest polymorph = 0 meV per atom
crystal system = tetragonal
raw formation energy = -1.07 eV per atom
V = 131.21 Å³/cell
energy = -3.589 eV/atom

***

# 2
A plane-wave DFT calculation with PBE-GGA was carried out for crystalline LiSn3Bi at its relaxed geometry.

a = 5.136 Å, b = 5.136 Å, c = 5.136 Å
α = 90.00°, β = 90.00°, γ = 90.00°
Atoms (fractional coordinates):
Bi: 0.500 0.500 0.500
Sn: 0.000 0.000 0.500
Sn: 0.500 0.000 0.000
Sn: 0.000 0.500 0.000
Li: 0.000 0.000 0.000

Output
ΔH_f (0 K) = 0.17 eV per atom
E above lowest polymorph = 0 meV per atom
crystal system = cubic
V = 135.48 Å³/cell
energy = -3.392 eV/atom

***

# 3
A plane-wave DFT calculation with PBE-GGA was carried out for crystalline AgTe2Ru at its relaxed geometry.

a = 3.296 Å, b = 3.287 Å, c = 8.402 Å
α = 68.07°, β = 90.00°, γ = 90.00°
Atoms (fractional coordinates):
Te: 0.000 0.448 0.537
Te: 0.000 0.052 0.963
Ru: 0.500 0.750 0.750
Ag: 0.500 0.250 0.250

Output
E above lowest polymorph = 214 meV per atom
crystal system = monoclinic
raw formation energy = 0.22 eV per atom
V = 84.45 Å³/cell
energy = -4.382 eV/atom